Record 1
Here is Ba2Sr6Rh after structural relaxation from Alexandria via LeMat-Bulk. Energies are from PBE-GGA.

a = 8.662 Å, b = 8.662 Å, c = 8.662 Å
α = 60.00°, β = 60.00°, γ = 60.00°
Fractional positions:
Ba 0.250 0.250 0.250
Ba 0.750 0.750 0.750
Sr 0.241 0.241 0.759
Sr 0.241 0.759 0.241
Sr 0.241 0.759 0.759
Sr 0.759 0.241 0.241
Sr 0.759 0.241 0.759
Sr 0.759 0.759 0.241
Rh 0.000 0.000 0.000

Properties
Formation enthalpy at 0 K, eV/atom: -0.13
Space group: Fm-3m
Uncorrected energy, eV per atom: -2.4965
Density of states at the Fermi level, states/eV per cell: 6.4

***

Record 2
Here is NdGa3Ir after structural relaxation from Alexandria via LeMat-Bulk. Energies are from PBE-GGA.

a = 4.283 Å, b = 6.800 Å, c = 7.116 Å
α = 90.00°, β = 90.02°, γ = 90.00°
Fractional positions:
Nd 0.250 0.250 0.199
Nd 0.750 0.750 0.801
Ga 0.249 0.057 0.650
Ga 0.249 0.443 0.650
Ga 0.250 0.750 0.111
Ga 0.750 0.250 0.889
Ga 0.751 0.557 0.350
Ga 0.751 0.943 0.350
Ir 0.251 0.750 0.460
Ir 0.749 0.250 0.540

Properties
Formation enthalpy at 0 K, eV/atom: -0.54
Space group: P2_1/m
Uncorrected energy, eV per atom: -5.0773
Offset from the most stable computed form, kJ/mol of atoms: 1.0
Density of states at the Fermi level, states/eV per cell: 5.1